Record 1
# Tb3Nd6YHo2 | Alexandria via LeMat-Bulk | PBE | relaxed
# E_tot in Ry/atom: -0.3552
# Magnetization in μB/cell: 0.00
# V in Å³/cell: 799.85
# Formation energy in eV per atom: 0.011
data_Tb3Nd6YHo2
_symmetry_space_group_name_H-M 'C 1 2/m 1'
_symmetry_Int_Tables_number 12
_symmetry_space_group_name_Hall '-C 2y'
_cell_length_a 6.283
_cell_length_b 10.882
_cell_length_c 11.884
_cell_angle_alpha 90.00
_cell_angle_beta 100.12
_cell_angle_gamma 90.00
loop_
_atom_site_label
_atom_site_type_symbol
_atom_site_fract_x
_atom_site_fract_y
_atom_site_fract_z
_atom_site_occupancy
Tb1 Tb 0.000 0.000 0.000 1
Tb2 Tb 0.000 0.333 0.000 1
Nd1 Nd 0.249 0.167 0.251 1
Nd2 Nd 0.250 0.000 0.750 1
Y1 Y 0.000 0.500 0.500 1
Ho1 Ho 0.000 0.167 0.500 1

Record 2
# Pr3Ge2Br | Alexandria via LeMat-Bulk | PBE | relaxed
# E_tot in Ry/atom: -0.3585
# Magnetization in μB/cell: 4.14
# V in Å³/cell: 681.21
# Uncorrected formation energy in meV per atom: -670
data_Pr3Ge2Br
_symmetry_space_group_name_H-M 'C m c m'
_symmetry_Int_Tables_number 63
_symmetry_space_group_name_Hall '-C 2c 2'
_cell_length_a 4.531
_cell_length_b 15.368
_cell_length_c 9.784
_cell_angle_alpha 90.00
_cell_angle_beta 90.00
_cell_angle_gamma 90.00
loop_
_atom_site_label
_atom_site_type_symbol
_atom_site_fract_x
_atom_site_fract_y
_atom_site_fract_z
_atom_site_occupancy
Pr1 Pr 0.000 0.129 0.045 1
Pr2 Pr 0.000 0.368 0.250 1
Ge1 Ge 0.000 0.012 0.750 1
Ge2 Ge 0.000 0.500 0.000 1
Br1 Br 0.000 0.280 0.750 1